A plane-wave DFT calculation with GGA-PBE was carried out for crystalline MgZr2Mo at its relaxed geometry.

**ΔE to the lowest computed polymorph**: 0.188 eV per atom
**Total moment**: 0.00 μB/f.u.

Unit cell a=2.9836 b=4.8170 c=5.8390 alpha=90.00 beta=103.72 gamma=90.00
Space group Pm (No. 6)
One atom of each set of equivalent atoms:
Mg 0.0000 0.0000 0.0000 (multiplicity 1)
Zr 0.3246 0.5000 0.7356 (multiplicity 1)
Zr 0.6310 0.0000 0.4697 (multiplicity 1)
Mo 0.8362 0.5000 0.2696 (multiplicity 1)